# SrLa2Mn

A relaxed structure of SrLa2Mn (PBE, the Alexandria database).

Properties
Energy of formation from the pure elements ... 0.3299 eV/atom
DFT total energy ... -0.17811 hartree per atom
Space group ... Imm2, No. 44
Crystal system ... orthorhombic
Energy relative to the lowest polymorph listed for this composition ... 0.122 eV/atom

Unit cell a=6.988 b=6.988 c=6.988 alpha=147.68 beta=131.12 gamma=59.83
Fractional coordinates of all 4 atoms:
Sr  0.000  0.000  0.000
La  0.294  0.794  0.500
La  0.595  0.595  0.000
Mn  0.781  0.281  0.500

# Pm2HgIr

A relaxed structure of Pm2HgIr (PBE, the Alexandria database).

Properties
Energy of formation from the pure elements ... -0.5561 eV/atom
DFT total energy ... -0.19191 hartree per atom
Space group ... R3m, No. 160
Crystal system ... trigonal
Energy relative to the lowest polymorph listed for this composition ... 0.025 eV/atom

Unit cell a=7.910 b=7.910 c=7.910 alpha=30.76 beta=30.76 gamma=30.76
Fractional coordinates of all 4 atoms:
Pm  0.000  0.000  0.000
Pm  0.201  0.201  0.201
Hg  0.766  0.766  0.766
Ir  0.602  0.602  0.602

# Ce6GaOs3

A relaxed structure of Ce6GaOs3 (PBE, the Alexandria database).

Properties
Energy of formation from the pure elements ... -0.1663 eV/atom
DFT total energy ... -0.27188 hartree per atom
Space group ... P2_1/m, No. 11
Crystal system ... monoclinic

Unit cell a=11.210 b=4.190 c=11.662 alpha=90.00 beta=107.87 gamma=90.00
Fractional coordinates of all 20 atoms:
Ce  0.040  0.250  0.401
Ce  0.109  0.250  0.950
Ce  0.220  0.750  0.261
Ce  0.276  0.750  0.760
Ce  0.382  0.250  0.548
Ce  0.414  0.750  0.090
Ce  0.586  0.250  0.910
Ce  0.618  0.750  0.452
Ce  0.724  0.250  0.240
Ce  0.780  0.250  0.739
Ce  0.891  0.750  0.050
Ce  0.960  0.750  0.599
Ga  0.441  0.250  0.294
Ga  0.559  0.750  0.706
Os  0.041  0.250  0.169
Os  0.201  0.750  0.502
Os  0.342  0.250  0.915
Os  0.658  0.750  0.085
Os  0.799  0.250  0.498
Os  0.959  0.750  0.831

# SeI

A relaxed structure of SeI (PBE, the Alexandria database).

Properties
ΔE_f (raw) ... 1.3 eV/f.u.
DFT total energy ... -0.06792 hartree per atom
Space group ... Pm-3n, No. 223
Crystal system ... cubic

Unit cell a=8.495 b=8.495 c=8.495 alpha=90.00 beta=90.00 gamma=90.00
Fractional coordinates of all 12 atoms:
Se  0.000  0.250  0.500
Se  0.000  0.750  0.500
Se  0.250  0.500  0.000
Se  0.500  0.000  0.250
Se  0.500  0.000  0.750
Se  0.750  0.500  0.000
I  0.000  0.500  0.250
I  0.000  0.500  0.750
I  0.250  0.000  0.500
I  0.500  0.250  0.000
I  0.500  0.750  0.000
I  0.750  0.000  0.500

# NaCaCuSn

A relaxed structure of NaCaCuSn (PBE, the Alexandria database).

Properties
Energy of formation from the pure elements ... -0.2073 eV/atom
DFT total energy ... -0.11253 hartree per atom
Space group ... F-43m, No. 216
Crystal system ... cubic

Unit cell a=4.959 b=4.959 c=4.959 alpha=60.00 beta=60.00 gamma=60.00
Fractional coordinates of all 4 atoms:
Na  0.000  0.000  0.000
Ca  0.750  0.750  0.750
Cu  0.500  0.500  0.500
Sn  0.250  0.250  0.250

# Rb2Sn2As3

A relaxed structure of Rb2Sn2As3 (PBE, the Alexandria database).

Properties
Energy of formation from the pure elements ... -0.2445 eV/atom
DFT total energy ... -0.13440 hartree per atom
Space group ... C2/m, No. 12
Crystal system ... monoclinic

Unit cell a=8.062 b=8.062 c=9.318 alpha=122.00 beta=122.00 gamma=30.11
Fractional coordinates of all 7 atoms:
Rb  0.058  0.058  0.265
Rb  0.942  0.942  0.735
Sn  0.311  0.311  0.194
Sn  0.689  0.689  0.806
As  0.325  0.325  0.909
As  0.500  0.500  0.500
As  0.675  0.675  0.091